Here is a relaxed CrH2F6 crystal from Alexandria. Energies are from PBE+U.

Computed properties:
Volume (Å³/atom): 13.1
Magnetization (μB/f.u.): 2.00
VASP energy (eV/atom): -4.771

a = 10.743 Å, b = 9.048 Å, c = 4.863 Å
α = 90.00°, β = 95.35°, γ = 90.00°
Space group C2/c (No. 15)
Unique sites:
Cr 0.000 0.099 0.250 (multiplicity 4)
H 0.140 0.486 0.808 (multiplicity 8)
F 0.092 0.069 0.607 (multiplicity 8)
F 0.109 0.222 0.136 (multiplicity 8)
F 0.139 0.446 0.623 (multiplicity 8)